Computed, not measured: a relaxed structure of SrTePt2 at the GGA-PBE level of DFT.

a = 4.6195 Å, b = 4.6195 Å, c = 4.0885 Å
α = 90.00°, β = 90.00°, γ = 90.00°
Space group P4/mmm (No. 123)
Unique sites:
Sr: 0.0000 0.0000 0.0000 x1
Te: 0.5000 0.5000 0.0000 x1
Pt: 0.0000 0.5000 0.5000 x2

ΔE to the lowest computed polymorph = 7.18 kcal/mol of atoms
formation energy without anion corrections = -151 kJ/mol of formula units

=====

Computed, not measured: a relaxed structure of NdTmCuGe at the GGA-PBE level of DFT.

a = 7.1103 Å, b = 7.1103 Å, c = 7.1103 Å
α = 90.00°, β = 90.00°, γ = 90.00°
Space group F-43m (No. 216)
Unique sites:
Nd: 0.0000 0.0000 0.0000 x4
Tm: 0.0000 0.0000 0.5000 x4
Cu: 0.2500 0.2500 0.7500 x4
Ge: 0.2500 0.2500 0.2500 x4

calculated total energy = -4.951 eV/atom

=====

no.,theoretical density (g/cm3),magnetization (μB/f.u.)
1,11.5,0.00
2,8.3,0.00